Density functional theory data (PBE) for a geometry-optimized Mg2SbPd structure.

The structure in CIF format:
```
data_Mg2SbPd
_chemical_formula_sum 'Mg2 Sb1 Pd1'
_cell_length_a 3.2277
_cell_length_b 3.2277
_cell_length_c 7.8295
_cell_angle_alpha 90.00
_cell_angle_beta 90.00
_cell_angle_gamma 90.00
_space_group_name_H-M_alt 'P 1'
_space_group_IT_number 1
_space_group_name_Hall 'P 1'
loop_
_atom_site_label
_atom_site_type_symbol
_atom_site_fract_x
_atom_site_fract_y
_atom_site_fract_z
Mg1 Mg 0.0000 0.0000 0.1997
Mg2 Mg 0.0000 0.0000 0.8003
Sb1 Sb 0.5000 0.5000 0.5000
Pd1 Pd 0.5000 0.5000 0.0000
```

Computed properties:
- ΔE_f (raw): -0.43 eV/atom
- Crystal system: tetragonal
- SG: No. 123
- Total magnetization: 0.000 μB per atom